Run w
An optimized crystal structure of Tc2RhAu, computed with GGA-PBE.

extended XYZ file:
```
8
Lattice="-2.8742 2.8742 5.4183 2.8742 -2.8742 5.4183 2.8742 2.8742 -5.4183" Properties=species:S:1:pos:R:3 pbc="T T T"
Tc 4.3114 1.3132 -1.3546
Tc 1.3132 1.4371 1.3546
Tc -1.4371 1.5611 4.0637
Tc 1.5611 1.4371 6.7728
Rh 0.0000 0.0000 0.0000
Rh 0.0000 2.8742 2.7091
Au 2.8742 0.0000 2.7091
Au 0.0000 0.0000 5.4183
```



Run x
An optimized crystal structure of Tc2RhAu, computed with GGA-PBE.

extended XYZ file:
```
4
Lattice="4.6515 -1.3958 0.0000 4.6515 1.3958 0.0000 -0.8413 0.0000 4.6721" Properties=species:S:1:pos:R:3 pbc="T T T"
Tc 2.0835 0.0000 1.0898
Tc 6.3782 0.0000 3.5823
Rh 4.6515 0.0000 0.0000
Au -0.4206 0.0000 2.3361
```



Which of them is the most stable, and which is the least stable? run x and run w, in that order.